A plane-wave DFT calculation with GGA+U was carried out for an optimized crystal structure of ReWIO2.

Cell lengths 3.910, 3.910, 7.920 Å; angles 90.00, 90.00, 90.00 degrees
Positions (direct):
O  0.000  0.500  0.000
W  0.000  0.000  0.000
I  0.000  0.000  0.500
Re  0.500  0.500  0.500
O  0.500  0.000  0.000

Output
Total energy = -6.057 eV per atom
Total magnetization = 5.393 μB per cell